Record 1
Material: Ce3SiRu6
Method: DFT, PBE
State: optimized geometry

```
Ce3SiRu6
1.0
5.8317 3.3670 3.0112
-5.8317 3.3670 3.0112
0.0000 -6.7339 3.0112
Ce Si Ru
6 2 12
Direct
0.0248 0.2883 0.4111
0.2883 0.4111 0.0248
0.4111 0.0248 0.2883
0.5889 0.9752 0.7117
0.7117 0.5889 0.9752
0.9752 0.7117 0.5889
0.0000 0.0000 0.0000
0.5000 0.5000 0.5000
0.0286 0.9129 0.3167
0.0871 0.6833 0.9714
0.2380 0.6372 0.3383
0.3167 0.0286 0.9129
0.3383 0.2380 0.6372
0.3628 0.6617 0.7620
0.6372 0.3383 0.2380
0.6617 0.7620 0.3628
0.6833 0.9714 0.0871
0.7620 0.3628 0.6617
0.9129 0.3167 0.0286
0.9714 0.0871 0.6833
```

Total energy   -8.142 eV/atom
Size of the total moment   0.000 μB per atom
V   17.74 A^3/atom
Crystal system   trigonal
Energy relative to the elements, uncorrected   -5.9 kcal/mol of atoms


Record 2
Material: Li6SmAg12
Method: DFT, PBE
State: optimized geometry

```
Li6SmAg12
1.0
5.9151 3.4151 2.8756
-5.9151 3.4151 2.8756
0.0000 -6.8302 2.8756
Li Sm Ag
6 1 12
Direct
0.2774 0.2774 0.7105
0.2774 0.7105 0.2774
0.2895 0.7226 0.7226
0.7105 0.2774 0.2774
0.7226 0.2895 0.7226
0.7226 0.7226 0.2895
0.0000 0.0000 0.0000
0.1173 0.5000 0.8827
0.1173 0.8827 0.5000
0.1420 0.3906 0.3906
0.3906 0.1420 0.3906
0.3906 0.3906 0.1420
0.5000 0.1173 0.8827
0.5000 0.8827 0.1173
0.6094 0.6094 0.8580
0.6094 0.8580 0.6094
0.8580 0.6094 0.6094
0.8827 0.1173 0.5000
0.8827 0.5000 0.1173
```

Formation energy from the elements   -0.05 eV per atom
Total energy   -2.702 eV/atom
Size of the total moment   0.000 μB per atom
V   18.34 A^3/atom
Crystal system   trigonal


Record 3
Material: Ba2Ga2Bi
Method: DFT, PBE
State: optimized geometry

```
Ba2Ga2Bi
1.0
8.0797 0.0000 0.0000
0.0000 8.0797 0.0000
0.0000 0.0000 5.1682
Ba Ga Bi
4 4 2
Direct
0.1816 0.3184 0.0000
0.3184 0.8184 0.0000
0.6816 0.1816 0.0000
0.8184 0.6816 0.0000
0.1146 0.6146 0.5000
0.3854 0.1146 0.5000
0.6146 0.8854 0.5000
0.8854 0.3854 0.5000
0.0000 0.0000 0.5000
0.5000 0.5000 0.5000
```

Formation energy from the elements   -0.48 eV per atom
Total energy   -3.235 eV/atom
Distance to the lowest polymorph of the same formula   0.0 meV/atom
Size of the total moment   0.000 μB per atom
V   33.74 A^3/atom
Crystal system   tetragonal


Record 4
Material: Na3ErTm2S6
Method: DFT, PBE
State: optimized geometry

```
Na3ErTm2S6
1.0
3.4079 -5.9029 0.0000
3.4079 5.9029 0.0000
-2.2725 0.0000 6.6764
Na Er Tm S
3 1 2 6
Direct
0.0000 0.0000 0.0000
0.3336 0.6664 0.0000
0.6664 0.3336 0.0000
0.5000 0.5000 0.5000
0.1667 0.8333 0.5000
0.8333 0.1667 0.5000
0.0908 0.4252 0.2757
0.2403 0.2403 0.7244
0.4252 0.0908 0.2757
0.5748 0.9092 0.7243
0.7597 0.7597 0.2756
0.9092 0.5748 0.7243
```

Total energy   -5.374 eV/atom
Size of the total moment   0.000 μB per atom
V   22.38 A^3/atom
Crystal system   monoclinic
Energy relative to the elements, uncorrected   -42.8 kcal/mol of atoms


Record 5
Material: YW2Au
Method: DFT, PBE
State: optimized geometry

```
YW2Au
1.0
0.0000 3.3315 3.3315
3.3315 0.0000 3.3315
3.3315 3.3315 0.0000
Y W Au
1 2 1
Direct
0.0000 0.0000 0.0000
0.2500 0.2500 0.2500
0.7500 0.7500 0.7500
0.5000 0.5000 0.5000
```

Formation energy from the elements   0.92 eV per atom
Total energy   -7.987 eV/atom
Distance to the lowest polymorph of the same formula   787.0 meV/atom
Size of the total moment   0.000 μB per atom
V   18.49 A^3/atom
Crystal system   cubic


Record 6
Material: FeNiAu
Method: DFT, PBE
State: optimized geometry

```
FeNiAu
1.0
-1.3748 1.3748 5.4738
1.3748 -1.3748 5.4738
1.3748 1.3748 -5.4738
Fe Ni Au
1 1 1
Direct
0.0000 0.0000 0.0000
0.3609 0.3609 0.0000
0.6819 0.6819 0.0000
```

Formation energy from the elements   0.08 eV per atom
Total energy   -5.757 eV/atom
Distance to the lowest polymorph of the same formula   25.1 meV/atom
Size of the total moment   1.178 μB per atom
V   13.80 A^3/atom
Crystal system   tetragonal


Record 7
Material: Ac2Ga2Ir3
Method: DFT, PBE
State: optimized geometry

```
Ac2Ga2Ir3
1.0
2.2263 -9.3608 0.0000
2.2263 9.3608 0.0000
0.0000 0.0000 7.4032
Ac Ga Ir
4 4 6
Direct
0.0626 0.9374 0.7500
0.1539 0.8461 0.2500
0.8461 0.1539 0.7500
0.9374 0.0626 0.2500
0.3098 0.6902 0.0593
0.3098 0.6902 0.4407
0.6902 0.3098 0.5593
0.6902 0.3098 0.9407
0.2241 0.7759 0.7500
0.4393 0.5607 0.5756
0.4393 0.5607 0.9244
0.5607 0.4393 0.0756
0.5607 0.4393 0.4244
0.7759 0.2241 0.2500
```

Formation energy from the elements   -0.62 eV per atom
Total energy   -6.459 eV/atom
Distance to the lowest polymorph of the same formula   0.0 meV/atom
Size of the total moment   0.000 μB per atom
V   22.04 A^3/atom
Crystal system   orthorhombic


Record 8
Material: CeCoP3
Method: DFT, PBE
State: optimized geometry

```
CeCoP3
1.0
11.7424 0.0000 0.0000
0.0000 5.2689 0.0000
0.0000 0.0000 5.2479
Ce Co P
4 4 12
Direct
0.1963 0.0014 0.2500
0.1963 0.4986 0.7500
0.8037 0.5014 0.2500
0.8037 0.9986 0.7500
0.4191 0.7500 0.0000
0.4191 0.7500 0.5000
0.5809 0.2500 0.0000
0.5809 0.2500 0.5000
0.0006 0.7500 0.0000
0.0006 0.7500 0.5000
0.2987 0.0089 0.7500
0.2987 0.4911 0.2500
0.4384 0.1091 0.2500
0.4384 0.3909 0.7500
0.5616 0.6091 0.2500
0.5616 0.8909 0.7500
0.7013 0.5089 0.7500
0.7013 0.9911 0.2500
0.9994 0.2500 0.0000
0.9994 0.2500 0.5000
```

Formation energy from the elements   -0.79 eV per atom
Total energy   -6.642 eV/atom
Size of the total moment   0.000 μB per atom
V   16.23 A^3/atom
Crystal system   orthorhombic